Compound: As2RhWSe
Source: Alexandria
Functional: PBE
Structure: optimized geometry

The calculation puts the density of states at the Fermi level at 8.07 states/eV/f.u. The value obtained for the calculated density is 8.2 g/cm3. The calculation puts the formation energy from raw total energies at 6.240 eV/f.u. The total energy comes out at -5.370 eV/atom.

The space group is P4/mmm (No. 123) and the conventional cell measures 4.6574, 4.6574 and 4.8271 Å, with angles of 90.00, 90.00 and 90.00 degrees. The inequivalent atoms are As at (0.0000, 0.5000, 0.0000), Rh at (0.0000, 0.0000, 0.0000), W at (0.5000, 0.5000, 0.5000) and Se at (0.0000, 0.0000, 0.5000).